A geometry-optimized Co2PtAu2 structure. Source: Alexandria, functional PBE.

Cell lengths 6.382, 6.382, 3.792 Å; angles 90.00, 90.00, 90.00 degrees
Space group P4/mbm (No. 127)
One atom of each set of equivalent atoms:
Co: 0.122 0.378 0.000 [4 per cell]
Pt: 0.000 0.000 0.000 [2 per cell]
Au: 0.174 0.674 0.500 [4 per cell]

Results
DOS(E_F) = 0.40 states/eV/atom
calculated formation energy = 0.29 eV/atom
total DFT energy (no corrections) = -5.072 eV per atom